# Dy3B4C4

A geometry-optimized Dy3B4C4 structure (PBE-GGA, the Alexandria database).

The structure in CIF format:
```
data_Dy3B4C4
_symmetry_space_group_name_H-M 'P 1'
_symmetry_Int_Tables_number 1
_cell_length_a 2.9056
_cell_length_b 5.3024
_cell_length_c 8.6952
_cell_angle_alpha 90.00
_cell_angle_beta 90.00
_cell_angle_gamma 105.90
loop_
_symmetry_equiv_pos_as_xyz
'x,y,z'
loop_
_atom_site_label
_atom_site_type_symbol
_atom_site_fract_x
_atom_site_fract_y
_atom_site_fract_z
Dy1 Dy 0.4028 0.8057 0.2941
Dy2 Dy 0.4028 0.8057 0.7059
Dy3 Dy 0.1406 0.2811 0.0000
B1 B 0.7812 0.5623 0.5000
B2 B 0.4065 0.8130 0.0000
B3 B 0.1431 0.2862 0.6770
B4 B 0.1431 0.2862 0.3230
C1 C 0.6421 0.2842 0.7587
C2 C 0.6421 0.2842 0.2413
C3 C 0.2140 0.4280 0.5000
C4 C 0.8802 0.7604 0.0000
```

Results
- energy relative to the elements (eV/atom) = -0.013
- space-group type = Amm2 (38)